## P
PBE ZrTcBr2, relaxed; Fermi-level density of states = 0.830 states/eV per atom; SG = No. 65
1.0
-0.909 3.231 -0.618
-2.127 -2.661 -0.202
-2.198 1.081 8.891
Br Tc Zr
2 1 1
direct
0.000 0.000 0.503
0.000 0.000 0.997
0.500 0.500 0.250
0.500 0.500 0.750

## Q
PBE ZrTcBr2, relaxed; Fermi-level density of states = 0.966 states/eV per atom; SG = No. 47
1.0
-3.126 -1.354 0.435
0.942 -2.765 -1.838
2.045 -2.957 5.496
Br Tc Zr
2 1 1
direct
0.000 0.000 0.993
0.000 0.000 0.507
0.500 0.500 0.250
0.500 0.500 0.750

## R
PBE ZrTcBr2, relaxed; Fermi-level density of states = 0.390 states/eV per atom; SG = No. 44
1.0
-3.638 -3.258 5.191
-5.468 -4.567 0.193
6.488 2.062 -2.110
Tc Br Zr
1 2 1
direct
0.475 0.475 0.000
0.719 0.219 0.500
0.976 0.976 0.000
0.330 0.830 0.500

## S
PBE ZrTcBr2, relaxed; Fermi-level density of states = 0.847 states/eV per atom; SG = No. 6
1.0
-2.634 1.424 1.232
-0.087 -2.384 2.570
5.308 5.380 5.129
Br Tc Zr
2 1 1
direct
0.500 0.381 0.322
0.000 0.874 0.942
0.000 0.373 0.531
0.500 0.871 0.705

Energy ordering: S at the bottom, the next structure 231 meV per atom above.

## P
PBE ZrTcBr2, relaxed; Fermi-level density of states = 0.518 states/eV per atom; SG = No. 99
1.0
-0.871 -2.775 -2.116
-1.375 -1.736 2.842
-6.801 3.168 -1.355
Br Tc Zr
2 1 1
direct
0.000 0.000 0.908
0.500 0.500 0.332
0.000 0.000 0.562
0.500 0.500 0.698

## Q
PBE ZrTcBr2, relaxed; Fermi-level density of states = 1.182 states/eV per atom; SG = No. 225
1.0
0.000 3.317 3.317
3.317 0.000 3.317
3.317 3.317 0.000
Br Tc Zr
2 1 1
direct
0.250 0.250 0.250
0.750 0.750 0.750
0.500 0.500 0.500
0.000 0.000 0.000

## R
PBE ZrTcBr2, relaxed; Fermi-level density of states = 0.698 states/eV per atom; SG = No. 12
1.0
-4.514 4.348 4.546
-6.236 4.282 1.649
-2.309 -3.387 1.450
Br Tc Zr
2 1 1
direct
0.608 0.608 0.465
0.892 0.892 0.035
0.750 0.750 0.750
0.250 0.250 0.250

Energy ordering: R at the bottom, the next structure 128 meV per atom above.

## P
PBE Zr3TcBr, relaxed; Fermi-level density of states = 1.352 states/eV per atom; SG = No. 221
1.0
5.095 0.000 0.000
0.000 5.095 0.000
0.000 0.000 5.095
Tc Br Zr
1 1 3
direct
0.000 0.000 0.000
0.500 0.500 0.500
0.000 0.500 0.000
0.000 0.000 0.500
0.500 0.000 0.000

## Q
PBE Zr3TcBr, relaxed; Fermi-level density of states = 1.251 states/eV per atom; SG = No. 221
1.0
-0.613 -0.893 -4.780
-2.387 -4.142 1.080
-4.236 2.463 0.083
Br Zr Tc
1 3 1
direct
0.000 0.000 0.000
0.000 0.000 0.500
0.500 0.000 0.000
0.000 0.500 0.000
0.500 0.500 0.500

Energy ordering: P at the bottom, the next structure 343 meV per atom above.

## P
PBE TeBr3, relaxed; Fermi-level density of states = 0.000 states/eV per atom; SG = No. 1
1.0
7.186 0.000 0.000
-3.407 6.337 0.000
-1.191 -2.236 7.298
Br Te
6 2
direct
0.247 0.942 0.362
0.071 0.412 0.879
0.928 0.264 0.366
0.391 0.093 0.874
0.764 0.785 0.847
0.623 0.638 0.337
0.042 0.828 0.606
0.811 0.061 0.609

## Q
PBE TeBr3, relaxed; Fermi-level density of states = 0.516 states/eV per atom; SG = No. 71
1.0
-6.495 -1.496 -3.113
-4.865 -4.933 2.471
4.019 6.083 0.973
Br Te
3 1
direct
0.088 0.088 0.000
0.750 0.250 0.500
0.412 0.412 0.000
0.250 0.750 0.500

Energy ordering: P at the bottom, the next structure 295 meV per atom above.

## P
PBE TeBr3, relaxed; Fermi-level density of states = 0.860 states/eV per atom; SG = No. 187
1.0
-3.078 -0.067 -2.005
-0.048 -1.181 3.479
-2.169 9.016 3.030
Br Te
3 1
direct
0.000 0.000 0.970
0.667 0.333 0.250
0.000 0.000 0.530
0.667 0.333 0.750

## Q
PBE TeBr3, relaxed; Fermi-level density of states = 0.469 states/eV per atom; SG = No. 25
1.0
3.348 0.000 0.000
0.000 4.191 0.000
0.000 0.000 9.074
Br Te
3 1
direct
0.500 0.500 0.843
0.500 0.000 0.464
0.000 0.000 0.081
0.000 0.500 0.278

Energy ordering: Q at the bottom, the next structure 119 meV per atom above.

## P
PBE TeBr3, relaxed; Fermi-level density of states = 0.676 states/eV per atom; SG = No. 166
1.0
2.195 0.000 9.863
-1.097 1.901 9.863
-1.097 -1.901 9.863
Br Te
3 1
direct
0.000 0.000 0.000
0.089 0.089 0.089
0.911 0.911 0.911
0.500 0.500 0.500

## Q
PBE TeBr3, relaxed; Fermi-level density of states = 1.894 states/eV per atom; SG = No. 122
1.0
-1.549 1.017 6.829
-5.151 -4.830 -0.449
1.825 -7.613 5.214
Br Te
6 2
direct
0.776 0.125 0.250
0.375 0.224 0.750
0.500 0.500 0.000
0.974 0.625 0.250
0.250 0.750 0.500
0.875 0.026 0.750
0.750 0.250 0.500
0.000 0.000 0.000

Energy ordering: P at the bottom, the next structure 6 meV per atom above.

## P
PBE TeBr3, relaxed; Fermi-level density of states = 0.249 states/eV per atom; SG = No. 8
1.0
-2.628 1.374 4.883
4.706 -1.251 2.885
6.237 9.672 -5.978
Br Te
6 2
direct
0.819 0.500 0.364
0.545 0.500 0.593
0.313 0.500 0.858
0.545 0.000 0.093
0.313 0.000 0.358
0.819 0.000 0.864
0.335 0.000 0.881
0.335 0.500 0.381

## Q
PBE TeBr3, relaxed; Fermi-level density of states = 0.335 states/eV per atom; SG = No. 59
1.0
-5.203 3.106 0.409
-3.763 -6.278 -0.183
0.376 -0.469 8.349
Br Te
6 2
direct
0.000 0.500 0.616
0.000 0.254 0.172
0.500 0.246 0.828
0.500 0.754 0.828
0.000 0.746 0.172
0.500 0.000 0.384
0.500 0.500 0.631
0.000 0.000 0.369

## R
PBE TeBr3, relaxed; Fermi-level density of states = 0.140 states/eV per atom; SG = No. 194
1.0
-6.715 3.151 4.899
7.071 -3.640 3.970
3.338 6.744 0.238
Br Te
12 4
direct
0.000 0.500 0.500
0.269 0.135 0.250
0.500 0.000 0.500
0.500 0.500 0.000
0.865 0.135 0.250
0.135 0.865 0.750
0.135 0.269 0.750
0.500 0.000 0.000
0.865 0.731 0.250
0.500 0.500 0.500
0.731 0.865 0.750
0.000 0.500 0.000
0.000 0.000 0.500
0.667 0.333 0.750
0.000 0.000 0.000
0.333 0.667 0.250

Energy ordering: P at the bottom, the next structure 69 meV per atom above.

## P
PBE Te5Br, relaxed; Fermi-level density of states = 1.206 states/eV per atom; SG = No. 216
1.0
0.000 4.475 4.475
4.475 0.000 4.475
4.475 4.475 0.000
Te Br
5 1
direct
0.137 0.621 0.621
0.250 0.250 0.250
0.621 0.137 0.621
0.621 0.621 0.621
0.621 0.621 0.137
0.000 0.000 0.000

## Q
PBE Te5Br, relaxed; Fermi-level density of states = 0.306 states/eV per atom; SG = No. 38
1.0
2.065 0.223 -12.392
-5.334 1.288 11.303
1.643 3.801 0.342
Te Br
5 1
direct
0.764 0.236 0.500
0.112 0.888 0.500
0.348 0.652 0.000
0.673 0.327 0.000
0.427 0.573 0.500
0.009 0.991 0.000

## R
PBE Te5Br, relaxed; Fermi-level density of states = 0.296 states/eV per atom; SG = No. 8
1.0
-2.716 -4.560 4.648
0.789 -6.217 3.241
4.736 6.292 4.387
Te Br
5 1
direct
0.670 0.670 0.757
0.331 0.331 0.860
0.615 0.615 0.416
0.944 0.944 0.442
0.276 0.276 0.380
0.997 0.997 0.979

Energy ordering: R at the bottom, the next structure 117 meV per atom above.